Computed, not measured: an optimized crystal structure of MnHg2W at the PBE-GGA level of DFT.

Geometry as extended XYZ:
```
4
Lattice="-2.075 2.075 4.161 2.075 -2.075 4.161 2.075 2.075 -4.161" Properties=species:S:1:pos:R:3 pbc="T T T"
Mn 0.000 0.000 0.000
Hg 2.075 0.000 2.080
Hg 0.000 2.075 2.080
W 0.000 0.000 4.161
```

Spin magnetization, μB/f.u.: 2.15
Space-group type: I4/mmm
Polymorph energy (0 for the lowest one), meV per atom: 315
D(E_F), states/eV per cell: 2.37

---

Computed, not measured: an optimized crystal structure of MnHg2W at the PBE-GGA level of DFT.

Geometry as extended XYZ:
```
4
Lattice="4.823 -1.465 0.000 4.823 1.465 0.000 -0.966 0.000 5.146" Properties=species:S:1:pos:R:3 pbc="T T T"
Mn 0.000 0.000 0.000
Hg 1.713 0.000 3.871
Hg 6.967 0.000 1.274
W 4.340 0.000 2.573
```

Spin magnetization, μB/f.u.: 2.85
Space-group type: C2/m
Polymorph energy (0 for the lowest one), meV per atom: 262
D(E_F), states/eV per cell: 3.35

---

Computed, not measured: an optimized crystal structure of MnHg2W at the PBE-GGA level of DFT.

Geometry as extended XYZ:
```
4
Lattice="1.693 -2.310 0.000 1.693 2.310 0.000 0.000 0.000 9.382" Properties=species:S:1:pos:R:3 pbc="T T T"
Mn 0.000 0.000 0.000
Hg 0.000 0.000 4.303
Hg 1.693 0.000 7.105
W 1.693 0.000 1.839
```

Spin magnetization, μB/f.u.: 2.43
Space-group type: Cmm2
Polymorph energy (0 for the lowest one), meV per atom: 22
D(E_F), states/eV per cell: 2.72

---

Computed, not measured: an optimized crystal structure of MnHgW2 at the PBE-GGA level of DFT.

Geometry as extended XYZ:
```
4
Lattice="1.430 0.826 9.166 -1.430 0.826 9.166 0.000 -1.651 9.166" Properties=species:S:1:pos:R:3 pbc="T T T"
Mn 0.000 0.000 0.000
Hg 0.000 0.000 13.749
W 0.000 0.000 7.154
W 0.000 0.000 20.343
```

Spin magnetization, μB/f.u.: 1.09
E, eV per cell: -33.00
Space-group type: R-3m
D(E_F), states/eV per cell: 2.25

---

Computed, not measured: an optimized crystal structure of MnHg2W at the PBE-GGA level of DFT.

Geometry as extended XYZ:
```
4
Lattice="0.000 3.303 3.303 3.303 0.000 3.303 3.303 3.303 0.000" Properties=species:S:1:pos:R:3 pbc="T T T"
Mn 0.000 0.000 0.000
Hg 3.303 3.303 3.303
Hg 4.955 4.955 4.955
W 1.652 1.652 1.652
```

Spin magnetization, μB/f.u.: 1.85
Space-group type: F-43m
Polymorph energy (0 for the lowest one), meV per atom: 400
D(E_F), states/eV per cell: 2.76

---

Computed, not measured: an optimized crystal structure of MnHgW2 at the PBE-GGA level of DFT.

Geometry as extended XYZ:
```
4
Lattice="2.716 -4.549 0.000 2.716 4.549 0.000 -0.690 0.000 2.645" Properties=species:S:1:pos:R:3 pbc="T T T"
Mn 0.000 0.000 0.000
Hg 2.716 0.000 0.000
W 1.013 2.274 1.323
W 1.013 -2.274 1.323
```

Spin magnetization, μB/f.u.: 2.42
E, eV per cell: -32.81
Space-group type: C2/m
D(E_F), states/eV per cell: 3.32

---

Computed, not measured: an optimized crystal structure of MnHg3W at the PBE-GGA level of DFT.

Geometry as extended XYZ:
```
5
Lattice="5.292 0.000 0.000 0.000 5.292 0.000 0.000 0.000 5.292" Properties=species:S:1:pos:R:3 pbc="T T T"
Mn 0.000 0.000 0.000
Hg 0.000 2.646 2.646
Hg 2.646 0.000 2.646
Hg 2.646 2.646 0.000
W 2.646 2.646 2.646
```

Spin magnetization, μB/f.u.: 3.67
Space-group type: Pm-3m
Polymorph energy (0 for the lowest one), meV per atom: 0
D(E_F), states/eV per cell: 7.31

---

Computed, not measured: an optimized crystal structure of MnHgW2 at the PBE-GGA level of DFT.

Geometry as extended XYZ:
```
4
Lattice="1.661 -2.197 0.000 1.661 2.197 0.000 0.000 0.000 8.847" Properties=species:S:1:pos:R:3 pbc="T T T"
Mn 0.000 0.000 0.000
Hg 0.000 0.000 4.424
W 1.661 0.000 1.941
W 1.661 0.000 6.906
```

Spin magnetization, μB/f.u.: 1.34
E, eV per cell: -33.28
Space-group type: Cmmm
D(E_F), states/eV per cell: 3.63

---

Computed, not measured: an optimized crystal structure of MnHg2W at the PBE-GGA level of DFT.

Geometry as extended XYZ:
```
4
Lattice="1.497 0.864 9.411 -1.497 0.864 9.411 0.000 -1.729 9.411" Properties=species:S:1:pos:R:3 pbc="T T T"
Mn 0.000 0.000 0.000
Hg 0.000 0.000 7.124
Hg 0.000 0.000 21.109
W 0.000 0.000 14.117
```

Spin magnetization, μB/f.u.: 3.69
Space-group type: R-3m
Polymorph energy (0 for the lowest one), meV per atom: 200
D(E_F), states/eV per cell: 2.87

---

Computed, not measured: an optimized crystal structure of MnHg4W at the PBE-GGA level of DFT.

Geometry as extended XYZ:
```
6
Lattice="0.000 3.997 3.997 3.997 0.000 3.997 3.997 3.997 0.000" Properties=species:S:1:pos:R:3 pbc="T T T"
Mn 0.000 0.000 0.000
Hg 2.998 2.998 2.998
Hg 4.996 4.996 2.998
Hg 4.996 2.998 4.996
Hg 2.998 4.996 4.996
W 5.996 5.996 5.996
```

Spin magnetization, μB/f.u.: 1.18
E, eV per cell: -17.06
Space-group type: F-43m
D(E_F), states/eV per cell: 2.99

---

Computed, not measured: an optimized crystal structure of MnHgW2 at the PBE-GGA level of DFT.

Geometry as extended XYZ:
```
4
Lattice="-2.064 2.064 3.830 2.064 -2.064 3.830 2.064 2.064 -3.830" Properties=species:S:1:pos:R:3 pbc="T T T"
Mn 0.000 0.000 0.000
Hg 0.000 2.064 1.915
W 2.064 0.000 1.915
W 0.000 0.000 3.830
```

Spin magnetization, μB/f.u.: 2.84
E, eV per cell: -32.91
Space-group type: I-4m2
D(E_F), states/eV per cell: 3.32

---

Computed, not measured: an optimized crystal structure of MnHg2W at the PBE-GGA level of DFT.

Geometry as extended XYZ:
```
4
Lattice="4.177 0.000 0.000 0.000 4.177 0.000 0.000 0.000 4.133" Properties=species:S:1:pos:R:3 pbc="T T T"
Mn 0.000 0.000 0.000
Hg 0.000 2.089 2.066
Hg 2.089 0.000 2.066
W 2.089 2.089 0.000
```

Spin magnetization, μB/f.u.: 3.86
Space-group type: P4/mmm
Polymorph energy (0 for the lowest one), meV per atom: 268
D(E_F), states/eV per cell: 2.60

---

Computed, not measured: an optimized crystal structure of MnHgW2 at the PBE-GGA level of DFT.

Geometry as extended XYZ:
```
8
Lattice="-1.893 1.893 10.002 1.893 -1.893 10.002 1.893 1.893 -10.002" Properties=species:S:1:pos:R:3 pbc="T T T"
Mn 0.000 0.000 0.000
Mn 0.000 1.893 5.001
Hg 1.893 0.000 5.001
Hg 0.000 0.000 10.002
W 2.839 0.901 -2.500
W 0.901 0.946 2.500
W -0.946 0.992 7.501
W 0.992 0.946 12.502
```

Spin magnetization, μB/f.u.: 3.36
E, eV per cell: -62.78
Space-group type: I-42d
D(E_F), states/eV per cell: 7.71

---

Computed, not measured: an optimized crystal structure of MnHgW3 at the PBE-GGA level of DFT.

Geometry as extended XYZ:
```
5
Lattice="4.512 0.000 0.000 0.000 4.512 0.000 0.000 0.000 4.512" Properties=species:S:1:pos:R:3 pbc="T T T"
Mn 0.000 0.000 0.000
Hg 2.256 2.256 2.256
W 0.000 0.000 2.256
W 0.000 2.256 0.000
W 2.256 0.000 0.000
```

Spin magnetization, μB/f.u.: 0.00
Space-group type: Pm-3m
Polymorph energy (0 for the lowest one), meV per atom: 0
D(E_F), states/eV per cell: 3.23

---

Computed, not measured: an optimized crystal structure of MnHg2W at the PBE-GGA level of DFT.

Geometry as extended XYZ:
```
4
Lattice="2.886 0.000 0.000 0.000 4.229 0.000 -0.011 0.000 5.884" Properties=species:S:1:pos:R:3 pbc="T T T"
Mn 0.000 0.000 0.000
Hg 1.438 2.115 1.456
Hg 1.437 2.115 4.428
W -0.006 0.000 2.942
```

Spin magnetization, μB/f.u.: 3.03
Space-group type: P2/m
Polymorph energy (0 for the lowest one), meV per atom: 246
D(E_F), states/eV per cell: 2.35

---

Computed, not measured: an optimized crystal structure of MnHgW2 at the PBE-GGA level of DFT.

Geometry as extended XYZ:
```
4
Lattice="2.766 0.000 0.000 0.000 4.214 0.000 -0.823 0.000 5.535" Properties=species:S:1:pos:R:3 pbc="T T T"
Mn 0.000 0.000 0.000
Hg -0.411 0.000 2.768
W 1.040 2.107 1.215
W 0.903 2.107 4.320
```

Spin magnetization, μB/f.u.: 1.59
E, eV per cell: -33.15
Space-group type: P2/m
D(E_F), states/eV per cell: 2.83

---

Computed, not measured: an optimized crystal structure of MnHgW2 at the PBE-GGA level of DFT.

Geometry as extended XYZ:
```
4
Lattice="3.857 0.000 0.000 0.000 3.857 0.000 0.000 0.000 4.360" Properties=species:S:1:pos:R:3 pbc="T T T"
Mn 0.000 0.000 0.000
Hg 1.928 1.928 0.000
W 0.000 1.928 2.180
W 1.928 0.000 2.180
```

Spin magnetization, μB/f.u.: 2.73
E, eV per cell: -33.12
Space-group type: P4/mmm
D(E_F), states/eV per cell: 2.34

---

Computed, not measured: an optimized crystal structure of MnHg2W at the PBE-GGA level of DFT.

Geometry as extended XYZ:
```
4
Lattice="4.941 0.000 0.000 0.000 4.941 0.000 0.000 0.000 2.994" Properties=species:S:1:pos:R:3 pbc="T T T"
Mn 0.000 0.000 0.000
Hg 0.000 2.471 1.497
Hg 2.471 0.000 1.497
W 2.471 2.471 0.000
```

Spin magnetization, μB/f.u.: 3.78
Space-group type: P4/mmm
Polymorph energy (0 for the lowest one), meV per atom: 301
D(E_F), states/eV per cell: 3.18

---

Computed, not measured: an optimized crystal structure of MnHgW2 at the PBE-GGA level of DFT.

Geometry as extended XYZ:
```
4
Lattice="1.453 0.839 9.226 -1.453 0.839 9.226 0.000 -1.677 9.226" Properties=species:S:1:pos:R:3 pbc="T T T"
Mn 0.000 0.000 0.000
Hg 0.000 0.000 6.867
W 0.000 0.000 13.530
W 0.000 0.000 20.452
```

Spin magnetization, μB/f.u.: 2.79
E, eV per cell: -33.20
Space-group type: R3m
D(E_F), states/eV per cell: 2.42

---

Computed, not measured: an optimized crystal structure of MnHgW2 at the PBE-GGA level of DFT.

Geometry as extended XYZ:
```
4
Lattice="3.229 0.000 0.000 0.000 3.229 0.000 0.000 0.000 6.375" Properties=species:S:1:pos:R:3 pbc="T T T"
Mn 0.000 0.000 0.000
Hg 1.615 1.615 4.754
W 0.000 0.000 2.859
W 1.615 1.615 1.446
```

Spin magnetization, μB/f.u.: 2.91
E, eV per cell: -33.65
Space-group type: P4mm
D(E_F), states/eV per cell: 1.53